Record 1
Computed, not measured: a geometry-optimized HfScTc3 structure at the PBE level of DFT.

Values from the calculation:
- Formation energy from the elements: 6.446 eV/f.u.
- Mass density: 9.1 g cm⁻³

```
data_HfScTc3
_chemical_formula_sum 'Hf1 Sc1 Tc3'
_symmetry_space_group_name_H-M 'P m -3 m'
_symmetry_Int_Tables_number 221
_symmetry_space_group_name_Hall '-P 4 2 3'
_cell_length_a 4.557
_cell_length_b 4.557
_cell_length_c 4.557
_cell_angle_alpha 90.00
_cell_angle_beta 90.00
_cell_angle_gamma 90.00
loop_
_atom_site_label
_atom_site_fract_x
_atom_site_fract_y
_atom_site_fract_z
_atom_site_occupancy
Hf1 0.000 0.000 0.000 1
Sc1 0.500 0.500 0.500 1
Tc1 0.000 0.500 0.500 1
```



Record 2
Computed, not measured: a geometry-optimized Hf4ScTc5 structure at the PBE level of DFT.

Values from the calculation:
- Formation energy from the elements: -3.898 eV/f.u.
- Mass density: 12.0 g cm⁻³

```
data_Hf4ScTc5
_chemical_formula_sum 'Hf4 Sc1 Tc5'
_symmetry_space_group_name_H-M 'P 4/m m m'
_symmetry_Int_Tables_number 123
_symmetry_space_group_name_Hall '-P 4 2'
_cell_length_a 3.263
_cell_length_b 3.263
_cell_length_c 16.274
_cell_angle_alpha 90.00
_cell_angle_beta 90.00
_cell_angle_gamma 90.00
loop_
_atom_site_label
_atom_site_fract_x
_atom_site_fract_y
_atom_site_fract_z
_atom_site_occupancy
Hf1 0.000 0.000 0.100 1
Hf2 0.000 0.000 0.300 1
Sc1 0.000 0.000 0.500 1
Tc1 0.500 0.500 0.000 1
Tc2 0.500 0.500 0.200 1
Tc3 0.500 0.500 0.398 1
```



Record 3
Computed, not measured: a geometry-optimized HfScTc structure at the PBE level of DFT.

Values from the calculation:
- Formation energy from the elements: -0.682 eV/f.u.
- Mass density: 9.3 g cm⁻³

```
data_HfScTc
_chemical_formula_sum 'Hf4 Sc4 Tc4'
_symmetry_space_group_name_H-M 'C 1 m 1'
_symmetry_Int_Tables_number 8
_symmetry_space_group_name_Hall 'C -2y'
_cell_length_a 10.144
_cell_length_b 4.645
_cell_length_c 5.822
_cell_angle_alpha 90.00
_cell_angle_beta 123.20
_cell_angle_gamma 90.00
loop_
_atom_site_label
_atom_site_fract_x
_atom_site_fract_y
_atom_site_fract_z
_atom_site_occupancy
Hf1 0.000 0.000 0.000 1
Hf2 0.142 0.500 0.816 1
Sc1 0.217 0.500 0.386 1
Sc2 0.359 0.000 0.203 1
Tc1 0.038 0.000 0.531 1
Tc2 0.336 0.000 0.693 1
```



Record 4
Computed, not measured: a geometry-optimized HfScTc structure at the PBE level of DFT.

Values from the calculation:
- Formation energy from the elements: -0.734 eV/f.u.
- Mass density: 9.4 g cm⁻³

```
data_HfScTc
_chemical_formula_sum 'Hf4 Sc4 Tc4'
_symmetry_space_group_name_H-M 'C 1 2/m 1'
_symmetry_Int_Tables_number 12
_symmetry_space_group_name_Hall '-C 2y'
_cell_length_a 10.166
_cell_length_b 4.669
_cell_length_c 5.714
_cell_angle_alpha 90.00
_cell_angle_beta 123.17
_cell_angle_gamma 90.00
loop_
_atom_site_label
_atom_site_fract_x
_atom_site_fract_y
_atom_site_fract_z
_atom_site_occupancy
Hf1 0.180 0.000 0.104 1
Sc1 0.033 0.500 0.282 1
Tc1 0.152 0.000 0.585 1
```



Record 5
Computed, not measured: a geometry-optimized HfSc2Tc structure at the PBE level of DFT.

Values from the calculation:
- Formation energy from the elements: -0.108 eV/f.u.
- Mass density: 7.5 g cm⁻³

```
data_HfSc2Tc
_chemical_formula_sum 'Hf1 Sc2 Tc1'
_symmetry_space_group_name_H-M 'P 4/m m m'
_symmetry_Int_Tables_number 123
_symmetry_space_group_name_Hall '-P 4 2'
_cell_length_a 3.252
_cell_length_b 3.252
_cell_length_c 7.646
_cell_angle_alpha 90.00
_cell_angle_beta 90.00
_cell_angle_gamma 90.00
loop_
_atom_site_label
_atom_site_fract_x
_atom_site_fract_y
_atom_site_fract_z
_atom_site_occupancy
Hf1 0.000 0.000 0.000 1
Sc1 0.500 0.500 0.298 1
Tc1 0.000 0.000 0.500 1
```



Record 6
Computed, not measured: a geometry-optimized Hf2ScTc structure at the PBE level of DFT.

Values from the calculation:
- Formation energy from the elements: 1.053 eV/f.u.
- Mass density: 9.5 g cm⁻³

```
data_Hf2ScTc
_chemical_formula_sum 'Hf8 Sc4 Tc4'
_symmetry_space_group_name_H-M 'I -4 2 d'
_symmetry_Int_Tables_number 122
_symmetry_space_group_name_Hall 'I -4 2bw'
_cell_length_a 7.733
_cell_length_b 7.733
_cell_length_c 5.829
_cell_angle_alpha 90.00
_cell_angle_beta 90.00
_cell_angle_gamma 90.00
loop_
_atom_site_label
_atom_site_fract_x
_atom_site_fract_y
_atom_site_fract_z
_atom_site_occupancy
Hf1 0.197 0.250 0.125 1
Sc1 0.000 0.000 0.500 1
Tc1 0.000 0.000 0.000 1
```



Record 7
Computed, not measured: a geometry-optimized HfSc2Tc structure at the PBE level of DFT.

Values from the calculation:
- Formation energy from the elements: -0.297 eV/f.u.
- Mass density: 7.6 g cm⁻³

```
data_HfSc2Tc
_chemical_formula_sum 'Hf4 Sc8 Tc4'
_symmetry_space_group_name_H-M 'C 1 2/c 1'
_symmetry_Int_Tables_number 15
_symmetry_space_group_name_Hall '-C 2yc'
_cell_length_a 11.038
_cell_length_b 5.762
_cell_length_c 5.743
_cell_angle_alpha 90.00
_cell_angle_beta 118.49
_cell_angle_gamma 90.00
loop_
_atom_site_label
_atom_site_fract_x
_atom_site_fract_y
_atom_site_fract_z
_atom_site_occupancy
Hf1 0.000 0.182 0.250 1
Sc1 0.227 0.451 0.184 1
Tc1 0.000 0.314 0.750 1
```



Record 8
Computed, not measured: a geometry-optimized HfSc2Tc structure at the PBE level of DFT.

Values from the calculation:
- Formation energy from the elements: 0.563 eV/f.u.
- Mass density: 7.7 g cm⁻³

```
data_HfSc2Tc
_chemical_formula_sum 'Hf4 Sc8 Tc4'
_symmetry_space_group_name_H-M 'F m -3 m'
_symmetry_Int_Tables_number 225
_symmetry_space_group_name_Hall '-F 4 2 3'
_cell_length_a 6.797
_cell_length_b 6.797
_cell_length_c 6.797
_cell_angle_alpha 90.00
_cell_angle_beta 90.00
_cell_angle_gamma 90.00
loop_
_atom_site_label
_atom_site_fract_x
_atom_site_fract_y
_atom_site_fract_z
_atom_site_occupancy
Hf1 0.000 0.000 0.000 1
Sc1 0.250 0.250 0.250 1
Tc1 0.000 0.000 0.500 1
```